DFT (PBEsol) results for a relaxed Tc2AgOs crystal.

Summary:
Energy of formation in eV/atom: 0.31
Symmetry: P4/mmm
Spin magnetization in μB/f.u.: 0.0
E_tot in eV/atom: -9.2030

a b c (Å): 2.691 2.691 8.060
angles (deg): 90.00 90.00 90.00
Fractional coordinates of all 4 atoms:
Tc1 0.000 0.000 0.234
Tc2 0.000 0.000 0.766
Ag1 0.500 0.500 0.500
Os1 0.500 0.500 0.000